First-principles (PBE-GGA) data for a relaxed Tm6SiPd2 crystal, as listed in OQMD.

a b c (Å): 7.7263 7.7263 4.1802
angles (deg): 90.00 90.00 120.00
Fractional coordinates of all 9 atoms:
Tm: 0.0000 0.2607 0.0000
Tm: 0.0000 0.6004 0.5000
Tm: 0.2607 0.0000 0.0000
Tm: 0.3996 0.3996 0.5000
Tm: 0.6004 0.0000 0.5000
Tm: 0.7393 0.7393 0.0000
Si: 0.0000 0.0000 0.5000
Pd: 0.3333 0.6667 0.0000
Pd: 0.6667 0.3333 0.0000

Its spin magnetization is 0.011 Bohr magnetons per cell. The calculation puts the total DFT energy (no corrections) at -5.306 eV/atom. The space-group type is P-62m.